No. 1
DFT (GGA-PBE) results for crystalline Li2BeAl at its relaxed geometry.

- energy of formation from the pure elements (meV/atom) = 133
- offset from the most stable computed form (meV per atom) = 166
- Fermi-level density of states (states/eV per atom) = 0.2590
- SG = No. 225

a b c (Å): 4.2014 4.2014 4.2014
angles (deg): 60.00 60.00 60.00
Last column: nearest neighbours and their distance in Å.
Sites, in units of the cell vectors:
Be 0.0000 0.0000 0.0000  8 Li 2.57
Li 0.2500 0.2500 0.2500  4 Be 2.57, 4 Al 2.57
Li 0.7500 0.7500 0.7500  4 Al 2.57, 4 Be 2.57
Al 0.5000 0.5000 0.5000  8 Li 2.57



No. 2
DFT (GGA-PBE) results for crystalline Ir2Ru3Rh2 at its relaxed geometry.

- energy of formation from the pure elements (meV/atom) = 106
- offset from the most stable computed form (meV per atom) = 0
- Fermi-level density of states (states/eV per atom) = 1.0644
- SG = No. 65

a b c (Å): 3.8844 2.7052 9.7992
angles (deg): 90.00 101.45 90.00
Last column: nearest neighbours and their distance in Å.
Sites, in units of the cell vectors:
Ru 0.5693 0.5000 0.1382  7 Ru 2.65-2.71, 1 Rh 2.66, 4 Ir 2.72
Ru 0.4307 0.5000 0.8618  7 Ru 2.65-2.71, 1 Rh 2.66, 4 Ir 2.72
Ru 0.0000 0.0000 0.0000  2 Ir 2.66, 10 Ru 2.71
Ir 0.1385 0.0000 0.2770  5 Ru 2.66-2.72, 2 Ir 2.71, 4 Rh 2.71
Ir 0.8615 0.0000 0.7230  5 Ru 2.66-2.72, 2 Ir 2.71, 4 Rh 2.71
Rh 0.2924 0.5000 0.5851  4 Rh 2.54-2.71, 1 Ru 2.66, 4 Ir 2.71
Rh 0.7076 0.5000 0.4149  4 Rh 2.54-2.71, 1 Ru 2.66, 4 Ir 2.71



No. 3
DFT (GGA-PBE) results for crystalline PmYTh at its relaxed geometry.

- energy of formation from the pure elements (meV/atom) = 98
- offset from the most stable computed form (meV per atom) = 69
- Fermi-level density of states (states/eV per atom) = 2.3086
- SG = No. 187

a b c (Å): 3.4761 5.7327 5.7327
angles (deg): 120.00 90.00 90.00
Last column: nearest neighbours and their distance in Å.
Sites, in units of the cell vectors:
Y 0.6669 0.6667 0.3333  2 Y 3.48, 6 Pm 3.74, 6 Th 3.74
Th 0.1667 0.3333 0.6667  3 Pm 3.31, 2 Th 3.48
Pm 0.1665 0.0000 0.0000  3 Th 3.31, 2 Pm 3.48



> Among the records above, which one has the highest energy of formation from the pure elements?

Li2BeAl